LaPrAl2Zn2 PBE optimized geometry; formation energy = -0.409 eV per atom; total magnetization = 0.00 Bohr magnetons per cell; space group = No. 164; uncorrected energy = -3.70 eV per atom
1.0
4.596 0.000 0.000
-2.298 3.980 0.000
0.000 0.000 7.766
La Pr Al Zn
1 1 2 2
Cartesian
0.000 0.000 0.000
0.000 0.000 3.883
0.000 2.654 5.714
2.298 1.327 2.052
0.000 2.654 2.101
2.298 1.327 5.664